No. 1
Here is a relaxed structure of TbTiTlCd from Alexandria via LeMat-Bulk. Energies are from GGA-PBE.

Structure (CIF):
```
data_TbTiTlCd
_chemical_formula_sum 'Tb4 Ti4 Tl4 Cd4'
_space_group_name_H-M_alt 'F -4 3 m'
_space_group_IT_number 216
_space_group_name_Hall 'F -4 2 3'
_cell_length_a 7.2197
_cell_length_b 7.2197
_cell_length_c 7.2197
_cell_angle_alpha 90.00
_cell_angle_beta 90.00
_cell_angle_gamma 90.00
loop_
_atom_site_label
_atom_site_fract_x
_atom_site_fract_y
_atom_site_fract_z
_atom_site_occupancy
Tb1 0.0000 0.0000 0.0000 1
Ti1 0.0000 0.0000 0.5000 1
Tl1 0.2500 0.2500 0.7500 1
Cd1 0.2500 0.2500 0.2500 1
```

No. 2
Here is a relaxed structure of Tb5Tl3Cd from Alexandria via LeMat-Bulk. Energies are from GGA-PBE.

Structure (CIF):
```
data_Tb5Tl3Cd
_chemical_formula_sum 'Tb10 Tl6 Cd2'
_space_group_name_H-M_alt 'P 63/m c m'
_space_group_IT_number 193
_space_group_name_Hall '-P 6c 2'
_cell_length_a 9.3217
_cell_length_b 9.3217
_cell_length_c 6.7394
_cell_angle_alpha 90.00
_cell_angle_beta 90.00
_cell_angle_gamma 120.00
loop_
_atom_site_label
_atom_site_fract_x
_atom_site_fract_y
_atom_site_fract_z
_atom_site_occupancy
Tb1 0.0000 0.2880 0.2500 1
Tb2 0.3333 0.6667 0.0000 1
Tl1 0.0000 0.3730 0.7500 1
Cd1 0.0000 0.0000 0.0000 1
```

No. 3
# TbTl2Cd (GGA-PBE, optimized geometry)
data_TbTl2Cd
_chemical_formula_sum 'Tb1 Tl2 Cd1'
_space_group_name_H-M_alt 'P 4/m m m'
_space_group_IT_number 123
_space_group_name_Hall '-P 4 2'
_cell_length_a 3.7120
_cell_length_b 3.7120
_cell_length_c 7.7070
_cell_angle_alpha 90.00
_cell_angle_beta 90.00
_cell_angle_gamma 90.00
loop_
_atom_site_label
_atom_site_fract_x
_atom_site_fract_y
_atom_site_fract_z
_atom_site_occupancy
Tb1 0.0000 0.0000 0.0000 1
Tl1 0.5000 0.5000 0.2616 1
Cd1 0.0000 0.0000 0.5000 1
# Polymorph energy (0 for the lowest one) in eV per atom: 0.151

| no. | E_form (eV per atom) | energy (eV per atom) | magnetic moment (μB/f.u.) |
| --- | --- | --- | --- |
| 1 | -0.054 | -4.006 | 1.94 |
| 2 | -0.339 | -3.801 | 0.00 |
| 3 | -0.101 | -2.671 | 0.00 |